VASP calculation (PBE-GGA) on a relaxed structure of Ac2TeSe2.

Cell lengths 5.0681, 5.0672, 8.1205 Å; angles 90.00, 90.00, 120.01 degrees
Last column: nearest neighbours and their distance in Å.
Sites, in units of the cell vectors:
Se  0.8332  0.6664  0.8594  4 Ac 3.05-3.13
Se  0.1668  0.3336  0.1406  4 Ac 3.05-3.13
Ac  0.1666  0.3332  0.7546  4 Se 3.05-3.13
Ac  0.8334  0.6668  0.2454  4 Se 3.05-3.13
Te  0.5000  0.0000  0.5000  6 Ac 3.58

DOS(E_F)	0.00	states/eV/atom
E_form (uncorrected)	-1.898	eV/atom
volume	180.6	Å³ per cell
theoretical density	6.8	g cm⁻³
total magnetic moment	0.0	Bohr magnetons per cell